# 1
## BeAlIn3 (GGA-PBE)

Data for an optimized crystal structure of BeAlIn3.

Calculated values
**Energy relative to the elements**: 435 meV per atom
**ΔE to the lowest computed polymorph**: 0.0 meV per atom
**Density**: 5.2 g/cm3

Cell and atoms, written as CIF:
```
data_BeAlIn3
_symmetry_space_group_name_H-M 'P m -3 m'
_symmetry_Int_Tables_number 221
_symmetry_space_group_name_Hall '-P 4 2 3'
_cell_length_a 4.9397
_cell_length_b 4.9397
_cell_length_c 4.9397
_cell_angle_alpha 90.00
_cell_angle_beta 90.00
_cell_angle_gamma 90.00
loop_
_atom_site_label
_atom_site_fract_x
_atom_site_fract_y
_atom_site_fract_z
Be1 0.0000 0.0000 0.0000
Al1 0.5000 0.5000 0.5000
In1 0.0000 0.0000 0.5000
```

# 2
## Be2AlIn (GGA-PBE)

Data for an optimized crystal structure of Be2AlIn.

Calculated values
**Energy relative to the elements**: 494 meV per atom
**ΔE to the lowest computed polymorph**: 217.3 meV per atom
**Density**: 4.5 g/cm3

Cell and atoms, written as CIF:
```
data_Be2AlIn
_symmetry_space_group_name_H-M 'I 4/m m m'
_symmetry_Int_Tables_number 139
_symmetry_space_group_name_Hall '-I 4 2'
_cell_length_a 3.9675
_cell_length_b 3.9675
_cell_length_c 7.5739
_cell_angle_alpha 90.00
_cell_angle_beta 90.00
_cell_angle_gamma 90.00
loop_
_atom_site_label
_atom_site_fract_x
_atom_site_fract_y
_atom_site_fract_z
Be1 0.0000 0.5000 0.2500
Al1 0.0000 0.0000 0.0000
In1 0.0000 0.0000 0.5000
```

# 3
## BeAl3In (GGA-PBE)

Data for an optimized crystal structure of BeAl3In.

Calculated values
**Energy relative to the elements**: 359 meV per atom
**ΔE to the lowest computed polymorph**: 0.0 meV per atom
**Density**: 3.6 g/cm3

Cell and atoms, written as CIF:
```
data_BeAl3In
_symmetry_space_group_name_H-M 'P m -3 m'
_symmetry_Int_Tables_number 221
_symmetry_space_group_name_Hall '-P 4 2 3'
_cell_length_a 4.5424
_cell_length_b 4.5424
_cell_length_c 4.5424
_cell_angle_alpha 90.00
_cell_angle_beta 90.00
_cell_angle_gamma 90.00
loop_
_atom_site_label
_atom_site_fract_x
_atom_site_fract_y
_atom_site_fract_z
Be1 0.0000 0.0000 0.0000
Al1 0.0000 0.0000 0.5000
In1 0.5000 0.5000 0.5000
```

# 4
## Be2AlIn (GGA-PBE)

Data for an optimized crystal structure of Be2AlIn.

Calculated values
**Energy relative to the elements**: 483 meV per atom
**ΔE to the lowest computed polymorph**: 205.7 meV per atom
**Density**: 4.4 g/cm3

Cell and atoms, written as CIF:
```
data_Be2AlIn
_symmetry_space_group_name_H-M 'P 4/m m m'
_symmetry_Int_Tables_number 123
_symmetry_space_group_name_Hall '-P 4 2'
_cell_length_a 2.8290
_cell_length_b 2.8290
_cell_length_c 7.4868
_cell_angle_alpha 90.00
_cell_angle_beta 90.00
_cell_angle_gamma 90.00
loop_
_atom_site_label
_atom_site_fract_x
_atom_site_fract_y
_atom_site_fract_z
Be1 0.0000 0.0000 0.2238
Al1 0.5000 0.5000 0.0000
In1 0.5000 0.5000 0.5000
```

# 5
## BeAlIn3 (GGA-PBE)

Data for an optimized crystal structure of BeAlIn3.

Calculated values
**Energy relative to the elements**: 845 meV per atom
**ΔE to the lowest computed polymorph**: 410.1 meV per atom
**Density**: 4.2 g/cm3

Cell and atoms, written as CIF:
```
data_BeAlIn3
_symmetry_space_group_name_H-M 'P m -3 m'
_symmetry_Int_Tables_number 221
_symmetry_space_group_name_Hall '-P 4 2 3'
_cell_length_a 5.3219
_cell_length_b 5.3219
_cell_length_c 5.3219
_cell_angle_alpha 90.00
_cell_angle_beta 90.00
_cell_angle_gamma 90.00
loop_
_atom_site_label
_atom_site_fract_x
_atom_site_fract_y
_atom_site_fract_z
Be1 0.0000 0.0000 0.0000
Al1 0.5000 0.5000 0.5000
In1 0.0000 0.5000 0.5000
```

# 6
## Be2AlIn (GGA-PBE)

Data for an optimized crystal structure of Be2AlIn.

Calculated values
**Energy relative to the elements**: 495 meV per atom
**ΔE to the lowest computed polymorph**: 217.5 meV per atom
**Density**: 4.4 g/cm3

Cell and atoms, written as CIF:
```
data_Be2AlIn
_symmetry_space_group_name_H-M 'I -4 m 2'
_symmetry_Int_Tables_number 119
_symmetry_space_group_name_Hall 'I -4 -2'
_cell_length_a 3.8735
_cell_length_b 3.8735
_cell_length_c 7.9603
_cell_angle_alpha 90.00
_cell_angle_beta 90.00
_cell_angle_gamma 90.00
loop_
_atom_site_label
_atom_site_fract_x
_atom_site_fract_y
_atom_site_fract_z
Be1 0.0000 0.0000 0.0000
Be2 0.0000 0.5000 0.2500
Al1 0.0000 0.0000 0.5000
In1 0.0000 0.5000 0.7500
```

# 7
## BeAlInMo2 (GGA-PBE)

Data for an optimized crystal structure of BeAlInMo2.

Calculated values
**Energy relative to the elements**: 2339 meV per atom
**Density**: 4.9 g/cm3

Cell and atoms, written as CIF:
```
data_BeAlInMo2
_symmetry_space_group_name_H-M 'P 4/m m m'
_symmetry_Int_Tables_number 123
_symmetry_space_group_name_Hall '-P 4 2'
_cell_length_a 4.9799
_cell_length_b 4.9799
_cell_length_c 4.6682
_cell_angle_alpha 90.00
_cell_angle_beta 90.00
_cell_angle_gamma 90.00
loop_
_atom_site_label
_atom_site_fract_x
_atom_site_fract_y
_atom_site_fract_z
Be1 0.0000 0.0000 0.0000
Al1 0.5000 0.5000 0.0000
In1 0.5000 0.5000 0.5000
Mo1 0.0000 0.5000 0.5000
```

# 8
## BeAl2InO (GGA-PBE)

Data for an optimized crystal structure of BeAl2InO.

Calculated values
**Formation energy (no corrections)**: 1.56 eV/f.u.
**Density**: 3.8 g/cm3

Cell and atoms, written as CIF:
```
data_BeAl2InO
_symmetry_space_group_name_H-M 'P 4/m m m'
_symmetry_Int_Tables_number 123
_symmetry_space_group_name_Hall '-P 4 2'
_cell_length_a 4.2132
_cell_length_b 4.2132
_cell_length_c 4.7628
_cell_angle_alpha 90.00
_cell_angle_beta 90.00
_cell_angle_gamma 90.00
loop_
_atom_site_label
_atom_site_fract_x
_atom_site_fract_y
_atom_site_fract_z
Be1 0.0000 0.0000 0.0000
Al1 0.0000 0.5000 0.0000
In1 0.0000 0.0000 0.5000
O1 0.5000 0.5000 0.5000
```

# 9
## BeAlIn2Rh (GGA-PBE)

Data for an optimized crystal structure of BeAlIn2Rh.

Calculated values
**Energy relative to the elements**: 374 meV per atom
**Density**: 4.9 g/cm3

Cell and atoms, written as CIF:
```
data_BeAlIn2Rh
_symmetry_space_group_name_H-M 'P 4/m m m'
_symmetry_Int_Tables_number 123
_symmetry_space_group_name_Hall '-P 4 2'
_cell_length_a 5.1388
_cell_length_b 5.1388
_cell_length_c 4.6846
_cell_angle_alpha 90.00
_cell_angle_beta 90.00
_cell_angle_gamma 90.00
loop_
_atom_site_label
_atom_site_fract_x
_atom_site_fract_y
_atom_site_fract_z
Be1 0.0000 0.0000 0.0000
Al1 0.5000 0.5000 0.0000
In1 0.0000 0.5000 0.5000
Rh1 0.5000 0.5000 0.5000
```

# 10
## BeAlIn2S6 (GGA-PBE)

Data for an optimized crystal structure of BeAlIn2S6.

Calculated values
**Formation energy (no corrections)**: -5.41 eV/f.u.
**Density**: 2.7 g/cm3

Cell and atoms, written as CIF:
```
data_BeAlIn2S6
_symmetry_space_group_name_H-M 'C 1 2/c 1'
_symmetry_Int_Tables_number 15
_cell_length_a 13.4699
_cell_length_b 15.0227
_cell_length_c 6.0244
_cell_angle_alpha 90.00
_cell_angle_beta 114.27
_cell_angle_gamma 90.00
loop_
_symmetry_equiv_pos_as_xyz
'x,y,z'
'-x,-y,-z'
'-x,y,-z+1/2'
'x,-y,z+1/2'
'x+1/2,y+1/2,z'
'-x+1/2,-y+1/2,-z'
'-x+1/2,y+1/2,-z+1/2'
'x+1/2,-y+1/2,z+1/2'
loop_
_atom_site_label
_atom_site_fract_x
_atom_site_fract_y
_atom_site_fract_z
Be1 0.0000 0.1997 0.2500
Al1 0.0000 0.1983 0.7500
In1 0.2223 0.3962 0.7450
S1 0.0782 0.1135 0.0899
S2 0.1111 0.2557 0.5905
S3 0.1290 0.4869 0.9471
```

# 11
## Be2AlInSe (GGA-PBE)

Data for an optimized crystal structure of Be2AlInSe.

Calculated values
**Formation energy (no corrections)**: 3.64 eV/f.u.
**Density**: 3.6 g/cm3

Cell and atoms, written as CIF:
```
data_Be2AlInSe
_symmetry_space_group_name_H-M 'P 4/m m m'
_symmetry_Int_Tables_number 123
_symmetry_space_group_name_Hall '-P 4 2'
_cell_length_a 4.4227
_cell_length_b 4.4227
_cell_length_c 5.5872
_cell_angle_alpha 90.00
_cell_angle_beta 90.00
_cell_angle_gamma 90.00
loop_
_atom_site_label
_atom_site_fract_x
_atom_site_fract_y
_atom_site_fract_z
Be1 0.0000 0.5000 0.0000
Al1 0.0000 0.0000 0.0000
In1 0.0000 0.0000 0.5000
Se1 0.5000 0.5000 0.5000
```

# 12
## BeAlIn2Se6 (GGA-PBE)

Data for an optimized crystal structure of BeAlIn2Se6.

Calculated values
**Formation energy (no corrections)**: -4.61 eV/f.u.
**Density**: 3.9 g/cm3

Cell and atoms, written as CIF:
```
data_BeAlIn2Se6
_symmetry_space_group_name_H-M 'C 1 2/c 1'
_symmetry_Int_Tables_number 15
_cell_length_a 14.0408
_cell_length_b 15.5621
_cell_length_c 6.3190
_cell_angle_alpha 90.00
_cell_angle_beta 113.76
_cell_angle_gamma 90.00
loop_
_symmetry_equiv_pos_as_xyz
'x,y,z'
'-x,-y,-z'
'-x,y,-z+1/2'
'x,-y,z+1/2'
'x+1/2,y+1/2,z'
'-x+1/2,-y+1/2,-z'
'-x+1/2,y+1/2,-z+1/2'
'x+1/2,-y+1/2,z+1/2'
loop_
_atom_site_label
_atom_site_fract_x
_atom_site_fract_y
_atom_site_fract_z
Be1 0.0000 0.1966 0.2500
Al1 0.0000 0.1932 0.7500
In1 0.2196 0.3959 0.7603
Se1 0.0788 0.1042 0.0912
Se2 0.1181 0.2489 0.5955
Se3 0.1222 0.4829 0.9698
```

# 13
## TaBeAlIn2 (GGA-PBE)

Data for an optimized crystal structure of TaBeAlIn2.

Calculated values
**Energy relative to the elements**: 1185 meV per atom
**Density**: 4.9 g/cm3

Cell and atoms, written as CIF:
```
data_TaBeAlIn2
_symmetry_space_group_name_H-M 'P 4/m m m'
_symmetry_Int_Tables_number 123
_symmetry_space_group_name_Hall '-P 4 2'
_cell_length_a 5.7238
_cell_length_b 5.7238
_cell_length_c 4.5899
_cell_angle_alpha 90.00
_cell_angle_beta 90.00
_cell_angle_gamma 90.00
loop_
_atom_site_label
_atom_site_fract_x
_atom_site_fract_y
_atom_site_fract_z
Ta1 0.0000 0.0000 0.0000
Be1 0.0000 0.0000 0.5000
Al1 0.5000 0.5000 0.5000
In1 0.0000 0.5000 0.0000
```

# 14
## BeAl2InTe (GGA-PBE)

Data for an optimized crystal structure of BeAl2InTe.

Calculated values
**Formation energy (no corrections)**: 1.66 eV/f.u.
**Density**: 4.5 g/cm3

Cell and atoms, written as CIF:
```
data_BeAl2InTe
_symmetry_space_group_name_H-M 'P 4/m m m'
_symmetry_Int_Tables_number 123
_symmetry_space_group_name_Hall '-P 4 2'
_cell_length_a 4.5236
_cell_length_b 4.5236
_cell_length_c 5.5358
_cell_angle_alpha 90.00
_cell_angle_beta 90.00
_cell_angle_gamma 90.00
loop_
_atom_site_label
_atom_site_fract_x
_atom_site_fract_y
_atom_site_fract_z
Be1 0.0000 0.0000 0.0000
Al1 0.0000 0.5000 0.0000
In1 0.5000 0.5000 0.5000
Te1 0.0000 0.0000 0.5000
```

# 15
## Be2AlInTe (GGA-PBE)

Data for an optimized crystal structure of Be2AlInTe.

Calculated values
**Formation energy (no corrections)**: 4.11 eV/f.u.
**Density**: 4.1 g/cm3

Cell and atoms, written as CIF:
```
data_Be2AlInTe
_symmetry_space_group_name_H-M 'P 4/m m m'
_symmetry_Int_Tables_number 123
_symmetry_space_group_name_Hall '-P 4 2'
_cell_length_a 4.5682
_cell_length_b 4.5682
_cell_length_c 5.5121
_cell_angle_alpha 90.00
_cell_angle_beta 90.00
_cell_angle_gamma 90.00
loop_
_atom_site_label
_atom_site_fract_x
_atom_site_fract_y
_atom_site_fract_z
Be1 0.0000 0.5000 0.0000
Al1 0.0000 0.0000 0.5000
In1 0.0000 0.0000 0.0000
Te1 0.5000 0.5000 0.5000
```

# 16
## TiBeAl2In (GGA-PBE)

Data for an optimized crystal structure of TiBeAl2In.

Calculated values
**Energy relative to the elements**: 1198 meV per atom
**Density**: 3.3 g/cm3

Cell and atoms, written as CIF:
```
data_TiBeAl2In
_symmetry_space_group_name_H-M 'P 4/m m m'
_symmetry_Int_Tables_number 123
_symmetry_space_group_name_Hall '-P 4 2'
_cell_length_a 5.1183
_cell_length_b 5.1183
_cell_length_c 4.3331
_cell_angle_alpha 90.00
_cell_angle_beta 90.00
_cell_angle_gamma 90.00
loop_
_atom_site_label
_atom_site_fract_x
_atom_site_fract_y
_atom_site_fract_z
Ti1 0.0000 0.0000 0.0000
Be1 0.5000 0.5000 0.0000
Al1 0.0000 0.5000 0.5000
In1 0.5000 0.5000 0.5000
```

# 17
## BeAlZnIn2 (GGA-PBE)

Data for an optimized crystal structure of BeAlZnIn2.

Calculated values
**Energy relative to the elements**: 397 meV per atom
**Density**: 5.0 g/cm3

Cell and atoms, written as CIF:
```
data_BeAlZnIn2
_symmetry_space_group_name_H-M 'P 4/m m m'
_symmetry_Int_Tables_number 123
_symmetry_space_group_name_Hall '-P 4 2'
_cell_length_a 4.9814
_cell_length_b 4.9814
_cell_length_c 4.3964
_cell_angle_alpha 90.00
_cell_angle_beta 90.00
_cell_angle_gamma 90.00
loop_
_atom_site_label
_atom_site_fract_x
_atom_site_fract_y
_atom_site_fract_z
Be1 0.0000 0.0000 0.0000
Al1 0.0000 0.0000 0.5000
Zn1 0.5000 0.5000 0.5000
In1 0.0000 0.5000 0.0000
```

# 18
## Be2Al2Ir (GGA-PBE)

Data for an optimized crystal structure of Be2Al2Ir.

Calculated values
**Energy relative to the elements**: -222 meV per atom
**Density**: 7.4 g/cm3

Cell and atoms, written as CIF:
```
data_Be2Al2Ir
_symmetry_space_group_name_H-M 'P 4/m b m'
_symmetry_Int_Tables_number 127
_symmetry_space_group_name_Hall '-P 4 2ab'
_cell_length_a 6.1576
_cell_length_b 6.1576
_cell_length_c 3.1335
_cell_angle_alpha 90.00
_cell_angle_beta 90.00
_cell_angle_gamma 90.00
loop_
_atom_site_label
_atom_site_fract_x
_atom_site_fract_y
_atom_site_fract_z
Be1 0.1209 0.3791 0.0000
Al1 0.1723 0.6723 0.5000
Ir1 0.0000 0.0000 0.0000
```

# 19
## Be4AlIr (GGA-PBE)

Data for an optimized crystal structure of Be4AlIr.

Calculated values
**Energy relative to the elements**: -590 meV per atom
**Density**: 7.4 g/cm3

Cell and atoms, written as CIF:
```
data_Be4AlIr
_symmetry_space_group_name_H-M 'F -4 3 m'
_symmetry_Int_Tables_number 216
_symmetry_space_group_name_Hall 'F -4 2 3'
_cell_length_a 6.1191
_cell_length_b 6.1191
_cell_length_c 6.1191
_cell_angle_alpha 90.00
_cell_angle_beta 90.00
_cell_angle_gamma 90.00
loop_
_atom_site_label
_atom_site_fract_x
_atom_site_fract_y
_atom_site_fract_z
Be1 0.1251 0.1251 0.1251
Al1 0.2500 0.2500 0.7500
Ir1 0.0000 0.0000 0.5000
```

# 20
## Be2AlIr (GGA-PBE)

Data for an optimized crystal structure of Be2AlIr.

Calculated values
**Energy relative to the elements**: -474 meV per atom
**Density**: 8.6 g/cm3

Cell and atoms, written as CIF:
```
data_Be2AlIr
_symmetry_space_group_name_H-M 'I 4/m m m'
_symmetry_Int_Tables_number 139
_symmetry_space_group_name_Hall '-I 4 2'
_cell_length_a 3.5593
_cell_length_b 3.5593
_cell_length_c 7.2113
_cell_angle_alpha 90.00
_cell_angle_beta 90.00
_cell_angle_gamma 90.00
loop_
_atom_site_label
_atom_site_fract_x
_atom_site_fract_y
_atom_site_fract_z
Be1 0.0000 0.5000 0.2500
Al1 0.0000 0.0000 0.0000
Ir1 0.0000 0.0000 0.5000
```

In eV per formula unit, the E_tot values for the records above are, in order, -13.51 -11.96 -15.90 -12.00 -11.46 -11.96 -20.17 -17.35 -18.43 -43.12 -13.78 -38.47 -18.87 -15.43 -12.97 -15.85 -12.24 -24.91 -31.05 -21.95.